Material: YThSe2
Method: DFT, PBE
State: relaxed

It has space group R-3m (No. 166, hexagonal axes), with a = 4.0366 Å, b = 4.0366 Å, c = 21.4100 Å, α = 90.00°, β = 90.00° and γ = 120.00°. The distinct sites, in fractional coordinates, are Y at (0.0000, 0.0000, 0.0000), Th at (0.0000, 0.0000, 0.5000) and Se at (0.0000, 0.0000, 0.2551).

Its uncorrected formation energy is -1.6466 eV per atom. The electronic total energy is -6.86 eV/atom. For the energy relative to the lowest polymorph listed for this composition, the calculation gives 0 meV per atom.